A crystal of La2BeOs relaxed with PBEsol. Source: the Alexandria database, functional SCAN.

Cell lengths 3.6401, 4.6413, 10.0313 Å; angles 90.00, 90.00, 90.00 degrees
Space group Imm2 (No. 44)
One atom of each set of equivalent atoms:
La 0.0000 0.0000 0.0000
La 0.0000 0.5000 0.2070
Be 0.0000 0.5000 0.7908
Os 0.0000 0.0000 0.4228

Properties
**Density of states at the Fermi level**: 3.3 states/eV/f.u.
**Size of the total moment**: 0.0 μB per cell
**Energy of formation from the pure elements**: -0.05 eV/atom
**Density**: 9.35 g/cm3